i:
VASP calculation (PBE-GGA) on a relaxed structure of BaZnCoS3.

Cell: 6.985 6.985 9.709 Å, 90.00 90.00 147.61°
Fractional positions:
Ba 0.246 0.754 0.750
Ba 0.754 0.246 0.250
Zn 0.500 0.500 0.000
Zn 0.500 0.500 0.500
Co 0.031 0.969 0.250
Co 0.969 0.031 0.750
S 0.124 0.876 0.056
S 0.124 0.876 0.444
S 0.441 0.559 0.250
S 0.559 0.441 0.750
S 0.876 0.124 0.556
S 0.876 0.124 0.944

Properties
Calculated density ... 4.7 g/cm3

---

ii:
VASP calculation (PBE-GGA) on a relaxed structure of BaZnCoS3.

Cell: 7.083 7.083 9.258 Å, 90.00 90.00 147.81°
Fractional positions:
Ba 0.247 0.753 0.750
Ba 0.753 0.247 0.250
Zn 0.470 0.530 0.250
Zn 0.530 0.470 0.750
Co 0.000 0.000 0.000
Co 0.000 0.000 0.500
S 0.063 0.937 0.250
S 0.378 0.622 0.042
S 0.378 0.622 0.458
S 0.622 0.378 0.542
S 0.622 0.378 0.958
S 0.937 0.063 0.750

Properties
Calculated density ... 4.8 g/cm3

---

Result of the stability comparison: i is the most stable of them.

---

i:
VASP calculation (PBE-GGA) on a relaxed structure of BaCoTc.

Cell: 4.659 4.659 4.659 Å, 60.00 60.00 60.00°
Fractional positions:
Ba 0.000 0.000 0.000
Co 0.250 0.250 0.250
Tc 0.500 0.500 0.500

Properties
Calculated density ... 6.8 g/cm3

---

ii:
VASP calculation (PBE-GGA) on a relaxed structure of BaCoTc.

Cell: 4.677 4.677 4.677 Å, 60.00 60.00 60.00°
Fractional positions:
Ba 0.000 0.000 0.000
Co 0.750 0.750 0.750
Tc 0.250 0.250 0.250

Properties
Calculated density ... 6.8 g/cm3

---

Result of the stability comparison: i is the most stable of them.

---

i:
VASP calculation (PBE-GGA) on a relaxed structure of BaTmCo.

Cell: 4.918 4.918 4.918 Å, 60.00 60.00 60.00°
Fractional positions:
Ba 0.000 0.000 0.000
Tm 0.250 0.250 0.250
Co 0.750 0.750 0.750

Properties
Calculated density ... 7.2 g/cm3

---

ii:
VASP calculation (PBE-GGA) on a relaxed structure of BaTmCo.

Cell: 4.967 4.967 4.967 Å, 60.00 60.00 60.00°
Fractional positions:
Ba 0.000 0.000 0.000
Tm 0.500 0.500 0.500
Co 0.250 0.250 0.250

Properties
Calculated density ... 7.0 g/cm3

---

Result of the stability comparison: ii is the most stable of them.

---

i:
VASP calculation (PBE-GGA) on a relaxed structure of CsBaDy.

Cell: 6.134 6.134 6.134 Å, 60.00 60.00 60.00°
Fractional positions:
Cs 0.000 0.000 0.000
Ba 0.250 0.250 0.250
Dy 0.750 0.750 0.750

Properties
Calculated density ... 4.4 g/cm3

---

ii:
VASP calculation (PBE-GGA) on a relaxed structure of CsBaDy.

Cell: 6.666 6.666 6.666 Å, 60.00 60.00 60.00°
Fractional positions:
Cs 0.000 0.000 0.000
Ba 0.500 0.500 0.500
Dy 0.750 0.750 0.750

Properties
Calculated density ... 3.4 g/cm3

---

Result of the stability comparison: ii is the most stable of them.

---

i:
VASP calculation (PBE-GGA) on a relaxed structure of CsBaHf.

Cell: 5.714 5.714 5.714 Å, 60.00 60.00 60.00°
Fractional positions:
Cs 0.000 0.000 0.000
Ba 0.750 0.750 0.750
Hf 0.250 0.250 0.250

Properties
Calculated density ... 5.6 g/cm3

---

ii:
VASP calculation (PBE-GGA) on a relaxed structure of CsBaHf.

Cell: 6.202 6.202 6.202 Å, 60.00 60.00 60.00°
Fractional positions:
Cs 0.000 0.000 0.000
Ba 0.250 0.250 0.250
Hf 0.500 0.500 0.500

Properties
Calculated density ... 4.4 g/cm3

---

Result of the stability comparison: ii is the most stable of them.

---

i:
VASP calculation (PBE-GGA) on a relaxed structure of CsBaPd.

Cell: 5.528 5.528 5.528 Å, 60.00 60.00 60.00°
Fractional positions:
Cs 0.000 0.000 0.000
Ba 0.750 0.750 0.750
Pd 0.250 0.250 0.250

Properties
Calculated density ... 5.2 g/cm3

---

ii:
VASP calculation (PBE-GGA) on a relaxed structure of CsBaPd.

Cell: 5.625 5.625 5.625 Å, 60.00 60.00 60.00°
Fractional positions:
Cs 0.000 0.000 0.000
Ba 0.500 0.500 0.500
Pd 0.750 0.750 0.750

Properties
Calculated density ... 5.0 g/cm3

---

Result of the stability comparison: ii is the most stable of them.

---

i:
VASP calculation (PBE-GGA) on a relaxed structure of CsBaU.

Cell: 6.076 6.076 6.076 Å, 60.00 60.00 60.00°
Fractional positions:
Cs 0.000 0.000 0.000
Ba 0.750 0.750 0.750
U 0.250 0.250 0.250

Properties
Calculated density ... 5.3 g/cm3

---

ii:
VASP calculation (PBE-GGA) on a relaxed structure of CsBaU.

Cell: 6.392 6.392 6.392 Å, 60.00 60.00 60.00°
Fractional positions:
Cs 0.000 0.000 0.000
Ba 0.500 0.500 0.500
U 0.750 0.750 0.750

Properties
Calculated density ... 4.6 g/cm3

---

Result of the stability comparison: ii is the most stable of them.

---

i:
VASP calculation (PBE-GGA) on a relaxed structure of CsBaZn.

Cell: 5.782 5.782 5.782 Å, 60.00 60.00 60.00°
Fractional positions:
Cs 0.000 0.000 0.000
Ba 0.750 0.750 0.750
Zn 0.250 0.250 0.250

Properties
Calculated density ... 4.1 g/cm3

---

ii:
VASP calculation (PBE-GGA) on a relaxed structure of CsBaZn.

Cell: 5.898 5.898 5.898 Å, 60.00 60.00 60.00°
Fractional positions:
Cs 0.000 0.000 0.000
Ba 0.250 0.250 0.250
Zn 0.500 0.500 0.500

Properties
Calculated density ... 3.8 g/cm3

---

Result of the stability comparison: ii is the most stable of them.

---

i:
VASP calculation (PBE-GGA) on a relaxed structure of BaDyCu.

Cell: 5.195 5.195 5.195 Å, 60.00 60.00 60.00°
Fractional positions:
Ba 0.000 0.000 0.000
Dy 0.500 0.500 0.500
Cu 0.250 0.250 0.250

Properties
Calculated density ... 6.1 g/cm3

---

ii:
VASP calculation (PBE-GGA) on a relaxed structure of BaDyCu.

Cell: 5.099 5.099 5.099 Å, 60.00 60.00 60.00°
Fractional positions:
Ba 0.000 0.000 0.000
Dy 0.250 0.250 0.250
Cu 0.750 0.750 0.750

Properties
Calculated density ... 6.4 g/cm3

---

Result of the stability comparison: i is the most stable of them.

---

i:
VASP calculation (PBE-GGA) on a relaxed structure of BaFeCuRe.

Cell: 4.761 4.761 4.761 Å, 60.00 60.00 60.00°
Fractional positions:
Ba 0.000 0.000 0.000
Fe 0.500 0.500 0.500
Cu 0.750 0.750 0.750
Re 0.250 0.250 0.250

Properties
Calculated density ... 9.6 g/cm3

---

ii:
VASP calculation (PBE-GGA) on a relaxed structure of BaFeCuRe.

Cell: 4.758 4.758 4.758 Å, 60.00 60.00 60.00°
Fractional positions:
Ba 0.000 0.000 0.000
Fe 0.750 0.750 0.750
Cu 0.250 0.250 0.250
Re 0.500 0.500 0.500

Properties
Calculated density ... 9.7 g/cm3

---

iii:
VASP calculation (PBE-GGA) on a relaxed structure of BaFeCuRe.

Cell: 4.712 4.712 4.712 Å, 60.00 60.00 60.00°
Fractional positions:
Ba 0.000 0.000 0.000
Fe 0.250 0.250 0.250
Cu 0.500 0.500 0.500
Re 0.750 0.750 0.750

Properties
Calculated density ... 9.9 g/cm3

---

Result of the stability comparison: ii is the most stable of them.

---

i:
VASP calculation (PBE-GGA) on a relaxed structure of BaFeCuS3.

Cell: 9.806 3.825 13.389 Å, 90.00 90.00 90.00°
Fractional positions:
Ba 0.248 0.250 0.002
Ba 0.252 0.750 0.502
Ba 0.748 0.250 0.498
Ba 0.752 0.750 0.998
Fe 0.027 0.750 0.757
Fe 0.473 0.250 0.257
Fe 0.527 0.750 0.743
Fe 0.973 0.250 0.243
Cu 0.247 0.250 0.721
Cu 0.253 0.750 0.221
Cu 0.747 0.250 0.779
Cu 0.753 0.750 0.279
S 0.050 0.250 0.629
S 0.053 0.750 0.131
S 0.248 0.750 0.817
S 0.252 0.250 0.317
S 0.447 0.250 0.631
S 0.450 0.750 0.129
S 0.550 0.250 0.871
S 0.553 0.750 0.369
S 0.748 0.750 0.683
S 0.752 0.250 0.183
S 0.947 0.250 0.869
S 0.950 0.750 0.371

Properties
Calculated density ... 4.7 g/cm3

---

ii:
VASP calculation (PBE-GGA) on a relaxed structure of BaFeCuS3.

Cell: 7.065 7.065 9.470 Å, 90.00 90.00 148.91°
Fractional positions:
Ba 0.249 0.751 0.750
Ba 0.751 0.249 0.250
Fe 0.500 0.500 0.000
Fe 0.500 0.500 0.500
Cu 0.032 0.968 0.250
Cu 0.968 0.032 0.750
S 0.122 0.878 0.047
S 0.122 0.878 0.453
S 0.437 0.563 0.250
S 0.563 0.437 0.750
S 0.878 0.122 0.547
S 0.878 0.122 0.953

Properties
Calculated density ... 4.8 g/cm3

---

Result of the stability comparison: i is the most stable of them.

---

i:
VASP calculation (PBE-GGA) on a relaxed structure of BaCuMoIr.

Cell: 4.724 4.724 4.724 Å, 60.00 60.00 60.00°
Fractional positions:
Ba 0.000 0.000 0.000
Cu 0.250 0.250 0.250
Mo 0.750 0.750 0.750
Ir 0.500 0.500 0.500

Properties
Calculated density ... 10.9 g/cm3

---

ii:
VASP calculation (PBE-GGA) on a relaxed structure of BaCuMoIr.

Cell: 4.889 4.889 4.889 Å, 60.00 60.00 60.00°
Fractional positions:
Ba 0.000 0.000 0.000
Cu 0.750 0.750 0.750
Mo 0.500 0.500 0.500
Ir 0.250 0.250 0.250

Properties
Calculated density ... 9.8 g/cm3

---

Result of the stability comparison: i is the most stable of them.

---

i:
VASP calculation (PBE-GGA) on a relaxed structure of BaLaCuTeS2.

Cell: 11.754 4.436 12.198 Å, 90.00 90.00 90.00°
Fractional positions:
Ba 0.207 0.250 0.014
Ba 0.293 0.750 0.514
Ba 0.707 0.250 0.486
Ba 0.793 0.750 0.986
La 0.008 0.250 0.676
La 0.492 0.750 0.176
La 0.508 0.250 0.824
La 0.992 0.750 0.324
Cu 0.235 0.250 0.294
Cu 0.265 0.750 0.794
Cu 0.735 0.250 0.206
Cu 0.765 0.750 0.706
Te 0.051 0.750 0.861
Te 0.449 0.250 0.361
Te 0.551 0.750 0.639
Te 0.949 0.250 0.139
S 0.102 0.250 0.441
S 0.225 0.750 0.209
S 0.275 0.250 0.709
S 0.398 0.750 0.941
S 0.602 0.250 0.059
S 0.725 0.750 0.291
S 0.775 0.250 0.791
S 0.898 0.750 0.559

Properties
Calculated density ... 5.6 g/cm3

---

ii:
VASP calculation (PBE-GGA) on a relaxed structure of BaLaCuTeS2.

Cell: 7.647 7.647 11.451 Å, 90.00 90.00 148.03°
Fractional positions:
Ba 0.220 0.780 0.750
Ba 0.780 0.220 0.250
La 0.000 0.000 0.000
La 0.000 0.000 0.500
Cu 0.478 0.522 0.250
Cu 0.522 0.478 0.750
Te 0.092 0.908 0.250
Te 0.908 0.092 0.750
S 0.383 0.617 0.086
S 0.383 0.617 0.414
S 0.617 0.383 0.586
S 0.617 0.383 0.914

Properties
Calculated density ... 5.0 g/cm3

---

Result of the stability comparison: ii is the most stable of them.